Na2HfOsO6 (GGA-PBE, relaxed); ρ = 6.7 g/cm3; energy = -0.538 Ry/atom; total magnetization = 0.6 Bohr magnetons per cell; space group = No. 123
1.0
5.639 0.000 0.000
0.000 5.639 0.000
0.000 0.000 3.969
Na Hf Os O
2 1 1 6
direct
0.000 0.500 0.000
0.500 0.000 0.000
0.000 0.000 0.500
0.500 0.500 0.500
0.000 0.000 0.000
0.260 0.260 0.500
0.260 0.740 0.500
0.500 0.500 0.000
0.740 0.260 0.500
0.740 0.740 0.500


NaHfOsO6 (GGA-PBE, relaxed); ρ = 5.5 g/cm3; energy = -0.562 Ry/atom; total magnetization = 2.1 Bohr magnetons per cell; space group = No. 74
1.0
-3.662 3.749 5.328
3.662 -3.749 5.328
3.662 3.749 -5.328
Na Hf Os O
2 2 2 12
direct
0.458 0.208 0.250
0.542 0.792 0.750
0.000 0.500 0.500
0.500 0.500 0.000
0.000 0.000 0.500
0.000 0.500 0.000
0.051 0.801 0.250
0.058 0.432 0.229
0.058 0.830 0.626
0.297 0.170 0.729
0.297 0.568 0.126
0.326 0.576 0.750
0.674 0.424 0.250
0.703 0.432 0.874
0.703 0.830 0.271
0.942 0.170 0.374
0.942 0.568 0.771
0.949 0.199 0.750


Na2HfPO6 (GGA-PBE, relaxed); ρ = 3.8 g/cm3; energy = -0.501 Ry/atom; total magnetization = 1.0 Bohr magnetons per cell; space group = No. 164
1.0
5.842 0.000 0.000
-2.921 5.060 0.000
0.000 0.000 5.217
Na Hf P O
2 1 1 6
direct
0.333 0.667 0.474
0.667 0.333 0.526
0.000 0.000 0.000
0.000 0.000 0.500
0.137 0.275 0.699
0.137 0.863 0.699
0.275 0.137 0.301
0.725 0.863 0.699
0.863 0.137 0.301
0.863 0.725 0.301


NaHf2PaO8 (GGA-PBE, relaxed); ρ = 7.1 g/cm3; energy = -0.638 Ry/atom; total magnetization = 1.9 Bohr magnetons per cell; space group = No. 65
1.0
3.558 -3.654 0.000
3.558 3.654 0.000
0.000 0.000 6.603
Na Hf Pa O
1 2 1 8
direct
0.000 0.000 0.000
0.500 0.500 0.241
0.500 0.500 0.759
0.000 0.000 0.500
0.211 0.211 0.274
0.211 0.211 0.726
0.311 0.689 0.500
0.323 0.677 0.000
0.677 0.323 0.000
0.689 0.311 0.500
0.789 0.789 0.274
0.789 0.789 0.726


NaHfPaO6 (GGA-PBE, relaxed); ρ = 6.6 g/cm3; energy = -0.604 Ry/atom; total magnetization = 2.0 Bohr magnetons per cell; space group = No. 149
1.0
5.623 0.000 0.000
-2.812 4.870 0.000
0.000 0.000 4.823
Na Hf Pa O
1 1 1 6
direct
0.000 0.000 0.000
0.333 0.667 0.000
0.667 0.333 0.500
0.005 0.382 0.238
0.005 0.623 0.762
0.377 0.382 0.762
0.377 0.995 0.238
0.618 0.623 0.238
0.618 0.995 0.762


NaHfPa2O8 (GGA-PBE, relaxed); ρ = 7.5 g/cm3; energy = -0.657 Ry/atom; total magnetization = 0.0 Bohr magnetons per cell; space group = No. 65
1.0
3.479 -3.535 0.000
3.479 3.535 0.000
0.000 0.000 7.128
Na Hf Pa O
1 1 2 8
direct
0.000 0.000 0.000
0.000 0.000 0.500
0.500 0.500 0.248
0.500 0.500 0.752
0.200 0.200 0.281
0.200 0.200 0.719
0.300 0.700 0.500
0.321 0.679 0.000
0.679 0.321 0.000
0.700 0.300 0.500
0.800 0.800 0.281
0.800 0.800 0.719


Na2HfPaO6 (GGA-PBE, relaxed); ρ = 6.6 g/cm3; energy = -0.585 Ry/atom; total magnetization = 2.0 Bohr magnetons per cell; space group = No. 14
1.0
5.756 0.000 0.000
0.000 5.883 0.000
-5.747 0.000 8.233
Na Hf Pa O
4 2 2 12
direct
0.245 0.031 0.251
0.245 0.469 0.751
0.755 0.531 0.249
0.755 0.969 0.749
0.000 0.000 0.500
0.000 0.500 0.000
0.500 0.000 0.000
0.500 0.500 0.500
0.151 0.211 0.953
0.151 0.289 0.453
0.247 0.701 0.955
0.247 0.799 0.455
0.334 0.029 0.745
0.334 0.471 0.245
0.666 0.529 0.755
0.666 0.971 0.255
0.753 0.201 0.545
0.753 0.299 0.045
0.849 0.711 0.547
0.849 0.789 0.047


Na2Hf3PbO8 (GGA-PBE, relaxed); ρ = 7.1 g/cm3; energy = -0.601 Ry/atom; total magnetization = 0.0 Bohr magnetons per cell; space group = No. 160
1.0
3.238 1.870 5.873
-3.238 1.870 5.873
0.000 -3.739 5.873
Na Hf Pb O
2 3 1 8
direct
0.000 0.000 0.000
0.381 0.381 0.381
0.381 0.381 0.888
0.381 0.888 0.381
0.888 0.381 0.381
0.760 0.760 0.760
0.128 0.128 0.573
0.128 0.573 0.128
0.151 0.151 0.151
0.185 0.635 0.635
0.573 0.128 0.128
0.606 0.606 0.606
0.635 0.185 0.635
0.635 0.635 0.185


Na2HfPbO4 (GGA-PBE, relaxed); ρ = 7.1 g/cm3; energy = -0.487 Ry/atom; total magnetization = 0.0 Bohr magnetons per cell; space group = No. 10
1.0
6.053 0.000 0.000
0.000 3.312 0.000
-2.474 0.000 5.780
Na Hf Pb O
2 1 1 4
direct
0.000 0.000 0.000
0.000 0.500 0.500
0.500 0.000 0.500
0.500 0.500 0.000
0.288 0.000 0.691
0.290 0.500 0.292
0.710 0.500 0.708
0.712 0.000 0.309


Na2HfPdO4 (GGA-PBE, relaxed); ρ = 6.0 g/cm3; energy = -0.485 Ry/atom; total magnetization = 0.0 Bohr magnetons per cell; space group = No. 82
1.0
5.902 0.000 0.000
0.000 5.902 0.000
0.000 0.000 6.291
Na Hf Pd O
4 2 2 8
direct
0.000 0.000 0.000
0.000 0.500 0.250
0.500 0.000 0.750
0.500 0.500 0.500
0.000 0.000 0.500
0.500 0.500 0.000
0.000 0.500 0.750
0.500 0.000 0.250
0.166 0.197 0.704
0.197 0.834 0.296
0.303 0.666 0.796
0.334 0.303 0.204
0.666 0.697 0.204
0.697 0.334 0.796
0.803 0.166 0.296
0.834 0.803 0.704


Na4HfPd3O8 (GGA-PBE, relaxed); ρ = 5.8 g/cm3; energy = -0.431 Ry/atom; total magnetization = 0.0 Bohr magnetons per cell; space group = No. 12
1.0
6.116 -3.035 0.000
6.116 3.035 0.000
-2.834 0.000 5.553
Na Hf Pd O
4 1 3 8
direct
0.000 0.000 0.000
0.000 0.500 0.500
0.500 0.000 0.500
0.500 0.500 0.000
0.000 0.000 0.500
0.000 0.500 0.000
0.500 0.000 0.000
0.500 0.500 0.500
0.194 0.194 0.749
0.212 0.713 0.685
0.287 0.788 0.315
0.312 0.312 0.249
0.688 0.688 0.751
0.713 0.212 0.685
0.788 0.287 0.315
0.806 0.806 0.251


Na3Pm3HfO8 (GGA-PBE, relaxed); ρ = 5.7 g/cm3; energy = -0.541 Ry/atom; total magnetization = 0.0 Bohr magnetons per cell; space group = No. 166
1.0
3.489 2.015 5.594
-3.489 2.015 5.594
0.000 -4.029 5.594
Na Pm Hf O
3 3 1 8
direct
0.000 0.500 0.500
0.500 0.000 0.500
0.500 0.500 0.000
0.000 0.000 0.500
0.000 0.500 0.000
0.500 0.000 0.000
0.500 0.500 0.500
0.238 0.238 0.238
0.266 0.716 0.716
0.284 0.284 0.734
0.284 0.734 0.284
0.716 0.266 0.716
0.716 0.716 0.266
0.734 0.284 0.284
0.762 0.762 0.762


NaPrHf2O6 (GGA-PBE, relaxed); ρ = 7.4 g/cm3; energy = -0.639 Ry/atom; total magnetization = 0.0 Bohr magnetons per cell; space group = No. 225
1.0
0.000 4.102 4.102
4.102 0.000 4.102
4.102 4.102 0.000
Na Pr Hf O
1 1 2 6
direct
0.000 0.000 0.000
0.500 0.500 0.500
0.250 0.250 0.250
0.750 0.750 0.750
0.000 0.000 0.500
0.000 0.500 0.000
0.000 0.500 0.500
0.500 0.000 0.000
0.500 0.000 0.500
0.500 0.500 0.000


NaPrHfO4 (GGA-PBE, relaxed); ρ = 6.6 g/cm3; energy = -0.597 Ry/atom; total magnetization = 0.0 Bohr magnetons per cell; space group = No. 107
1.0
4.021 0.000 0.000
0.000 4.021 0.000
0.000 0.000 12.605
Na Pr Hf O
2 2 2 8
direct
0.000 0.000 0.000
0.500 0.500 0.500
0.000 0.000 0.694
0.500 0.500 0.194
0.000 0.000 0.353
0.500 0.500 0.853
0.000 0.000 0.176
0.000 0.000 0.512
0.000 0.500 0.327
0.000 0.500 0.827
0.500 0.000 0.327
0.500 0.000 0.827
0.500 0.500 0.012
0.500 0.500 0.676


NaPrHfTiO6 (GGA-PBE, relaxed); ρ = 6.3 g/cm3; energy = -0.617 Ry/atom; total magnetization = 0.0 Bohr magnetons per cell; space group = No. 216
1.0
0.000 3.997 3.997
3.997 0.000 3.997
3.997 3.997 0.000
Na Pr Hf Ti O
1 1 1 1 6
direct
0.000 0.000 0.000
0.500 0.500 0.500
0.750 0.750 0.750
0.250 0.250 0.250
0.006 0.006 0.494
0.006 0.494 0.006
0.006 0.494 0.494
0.494 0.006 0.006
0.494 0.006 0.494
0.494 0.494 0.006


Na2HfPtO4 (GGA-PBE, relaxed); ρ = 7.3 g/cm3; energy = -0.492 Ry/atom; total magnetization = 0.0 Bohr magnetons per cell; space group = No. 82
1.0
5.907 0.000 0.000
0.000 5.907 0.000
0.000 0.000 6.273
Na Hf Pt O
4 2 2 8
direct
0.000 0.000 0.000
0.000 0.500 0.250
0.500 0.000 0.750
0.500 0.500 0.500
0.000 0.000 0.500
0.500 0.500 0.000
0.000 0.500 0.750
0.500 0.000 0.250
0.164 0.194 0.710
0.194 0.836 0.290
0.306 0.664 0.790
0.336 0.306 0.210
0.664 0.694 0.210
0.694 0.336 0.790
0.806 0.164 0.290
0.836 0.806 0.710


NaPuHfO6 (GGA-PBE, relaxed); ρ = 7.3 g/cm3; energy = -0.642 Ry/atom; total magnetization = 2.0 Bohr magnetons per cell; space group = No. 102
1.0
5.009 0.000 0.000
0.000 5.009 0.000
0.000 0.000 9.791
Na Pu Hf O
2 2 2 12
direct
0.000 0.000 0.000
0.500 0.500 0.500
0.000 0.000 0.333
0.500 0.500 0.833
0.000 0.000 0.670
0.500 0.500 0.170
0.175 0.175 0.496
0.206 0.206 0.189
0.215 0.215 0.817
0.285 0.715 0.317
0.294 0.706 0.689
0.325 0.675 0.996
0.675 0.325 0.996
0.706 0.294 0.689
0.715 0.285 0.317
0.785 0.785 0.817
0.794 0.794 0.189
0.825 0.825 0.496


NaPuHf2O8 (GGA-PBE, relaxed); ρ = 7.7 g/cm3; energy = -0.665 Ry/atom; total magnetization = 1.0 Bohr magnetons per cell; space group = No. 65
1.0
3.490 -3.538 0.000
3.490 3.538 0.000
0.000 0.000 6.530
Na Pu Hf O
1 1 2 8
direct
0.000 0.000 0.000
0.000 0.000 0.500
0.500 0.500 0.237
0.500 0.500 0.763
0.200 0.200 0.286
0.200 0.200 0.714
0.301 0.699 0.500
0.321 0.679 0.000
0.679 0.321 0.000
0.699 0.301 0.500
0.800 0.800 0.286
0.800 0.800 0.714


Na2PuHfO6 (GGA-PBE, relaxed); ρ = 6.6 g/cm3; energy = -0.607 Ry/atom; total magnetization = 2.0 Bohr magnetons per cell; space group = No. 99
1.0
5.832 0.000 0.000
0.000 5.832 0.000
0.000 0.000 4.155
Na Pu Hf O
2 1 1 6
direct
0.000 0.500 0.000
0.500 0.000 0.000
0.000 0.000 0.502
0.500 0.500 0.502
0.000 0.000 0.003
0.247 0.247 0.503
0.247 0.753 0.503
0.500 0.500 0.002
0.753 0.247 0.503
0.753 0.753 0.503


Rb2NaHf3O8 (GGA-PBE, relaxed); ρ = 5.6 g/cm3; energy = -0.580 Ry/atom; total magnetization = 1.1 Bohr magnetons per cell; space group = No. 160
1.0
3.263 1.884 6.866
-3.263 1.884 6.866
0.000 -3.768 6.866
Rb Na Hf O
2 1 3 8
direct
0.000 0.000 0.000
0.355 0.355 0.355
0.835 0.835 0.835
0.357 0.357 0.856
0.357 0.856 0.357
0.856 0.357 0.357
0.083 0.083 0.548
0.083 0.548 0.083
0.137 0.137 0.137
0.179 0.613 0.613
0.548 0.083 0.083
0.574 0.574 0.574
0.613 0.179 0.613
0.613 0.613 0.179